The following is a DFT calculation (PBE-GGA) of an optimized crystal structure of HoTiSn.

abc: 4.260 4.260 7.904
angles: 90.00 90.00 90.00
Element x y z (fractional)
Ho1 0.250 0.250 0.162
Ho2 0.750 0.750 0.838
Ti1 0.250 0.750 0.500
Ti2 0.750 0.250 0.500
Sn1 0.250 0.250 0.752
Sn2 0.750 0.750 0.248

Summary:
V   143 Å³/cell
Spin magnetization   0.82 μB/cell
E_form   -0.51 eV per atom
Energy above the most stable polymorph in this dataset   0 meV/atom
N(E_F)   0.79 states/eV per atom